Density functional theory data (PBE) for crystalline Fe2ReP at its relaxed geometry.

a b c (Å): 4.8406 4.8406 4.8406
angles (deg): 146.54 130.33 61.23
Fractional coordinates of all 4 atoms:
Fe (0.0000, 0.0000, 0.0000)
Fe (0.7101, 0.2101, 0.5000)
Re (0.2742, 0.7742, 0.5000)
P (0.5095, 0.5095, 0.0000)

Properties
Mass density (Mg/m³): 11.57
Calculated total energy (hartree per atom): -0.3222
Energy of formation from the pure elements (kJ/mol of atoms): -6.8

***

Density functional theory data (PBE) for crystalline FeRe2P at its relaxed geometry.

a b c (Å): 4.6163 4.6163 4.4223
angles (deg): 94.41 94.41 35.38
Fractional coordinates of all 4 atoms:
Fe (0.0000, 0.0000, 0.0000)
Re (0.2749, 0.2749, 0.7621)
Re (0.7251, 0.7251, 0.2379)
P (0.5000, 0.5000, 0.5000)

Properties
Mass density (Mg/m³): 14.02
Calculated total energy (hartree per atom): -0.3492
Energy of formation from the pure elements (kJ/mol of atoms): 18.3

***

Density functional theory data (PBE) for crystalline Fe2ReP at its relaxed geometry.

a b c (Å): 4.4974 4.4974 2.7265
angles (deg): 90.00 90.00 115.20
Fractional coordinates of all 4 atoms:
Fe (0.0000, 0.5000, 0.0000)
Fe (0.5000, 0.0000, 0.0000)
Re (0.0000, 0.0000, 0.5000)
P (0.5000, 0.5000, 0.5000)

Properties
Mass density (Mg/m³): 10.94
Calculated total energy (hartree per atom): -0.3166
Energy of formation from the pure elements (kJ/mol of atoms): 7.7

***

Density functional theory data (PBE) for crystalline Fe2ReP at its relaxed geometry.

a b c (Å): 2.9490 2.9490 5.6090
angles (deg): 90.00 90.00 90.00
Fractional coordinates of all 4 atoms:
Fe (0.0000, 0.0000, 0.0000)
Fe (0.5000, 0.5000, 0.2285)
Re (0.5000, 0.5000, 0.7096)
P (0.0000, 0.0000, 0.4591)

Properties
Mass density (Mg/m³): 11.20
Calculated total energy (hartree per atom): -0.3215
Energy of formation from the pure elements (kJ/mol of atoms): -5.1

***

Density functional theory data (PBE) for crystalline FeRe2P at its relaxed geometry.

a b c (Å): 2.8374 3.8350 4.9726
angles (deg): 90.00 90.00 90.00
Fractional coordinates of all 4 atoms:
Fe (0.0000, 0.0000, 0.0000)
Re (0.0000, 0.0000, 0.4866)
Re (0.5000, 0.5000, 0.7290)
P (0.5000, 0.5000, 0.2155)

Properties
Mass density (Mg/m³): 14.09
Calculated total energy (hartree per atom): -0.3513
Energy of formation from the pure elements (kJ/mol of atoms): 12.9

***

Density functional theory data (PBE) for crystalline FeReP2 at its relaxed geometry.

a b c (Å): 7.3757 7.3757 7.3757
angles (deg): 22.89 22.89 22.89
Fractional coordinates of all 4 atoms:
Fe (0.0000, 0.0000, 0.0000)
Re (0.2331, 0.2331, 0.2331)
P (0.4888, 0.4888, 0.4888)
P (0.7345, 0.7345, 0.7345)

Properties
Mass density (Mg/m³): 9.48
Calculated total energy (hartree per atom): -0.2913
Energy of formation from the pure elements (kJ/mol of atoms): 0.6
E above lowest polymorph (meV per atom): 221

***

Density functional theory data (PBE) for crystalline FeRe2P at its relaxed geometry.

a b c (Å): 5.1134 5.1134 5.1134
angles (deg): 147.04 130.68 60.60
Fractional coordinates of all 4 atoms:
Fe (0.0000, 0.0000, 0.0000)
Re (0.2887, 0.7887, 0.5000)
Re (0.7113, 0.2113, 0.5000)
P (0.5000, 0.5000, 0.0000)

Properties
Mass density (Mg/m³): 13.95
Calculated total energy (hartree per atom): -0.3541
Energy of formation from the pure elements (kJ/mol of atoms): 5.6

***

Density functional theory data (PBE) for crystalline Fe2ReP2 at its relaxed geometry.

a b c (Å): 6.5661 6.5661 2.6449
angles (deg): 90.00 90.00 90.00
Fractional coordinates of all 10 atoms:
Fe (0.1439, 0.3561, 0.0000)
Fe (0.3561, 0.8561, 0.0000)
Fe (0.6439, 0.1439, 0.0000)
Fe (0.8561, 0.6439, 0.0000)
Re (0.0000, 0.0000, 0.5000)
Re (0.5000, 0.5000, 0.5000)
P (0.1537, 0.6537, 0.5000)
P (0.3463, 0.1537, 0.5000)
P (0.6537, 0.8463, 0.5000)
P (0.8463, 0.3463, 0.5000)

Properties
Mass density (Mg/m³): 10.48
Calculated total energy (hartree per atom): -0.3025
Energy of formation from the pure elements (kJ/mol of atoms): -18.5

***

Density functional theory data (PBE) for crystalline FeRe2P at its relaxed geometry.

a b c (Å): 4.9349 4.9349 4.9349
angles (deg): 146.42 129.05 62.42
Fractional coordinates of all 4 atoms:
Fe (0.0000, 0.0000, 0.0000)
Re (0.4380, 0.4380, 0.0000)
Re (0.7200, 0.2200, 0.5000)
P (0.2031, 0.7031, 0.5000)

Properties
Mass density (Mg/m³): 14.93
Calculated total energy (hartree per atom): -0.3606
Energy of formation from the pure elements (kJ/mol of atoms): -11.6

***

Density functional theory data (PBE) for crystalline Fe2ReP at its relaxed geometry.

a b c (Å): 2.6657 2.6657 6.4406
angles (deg): 90.00 90.00 90.00
Fractional coordinates of all 4 atoms:
Fe (0.0000, 0.0000, 0.2038)
Fe (0.0000, 0.0000, 0.7962)
Re (0.5000, 0.5000, 0.5000)
P (0.5000, 0.5000, 0.0000)

Properties
Mass density (Mg/m³): 11.93
Calculated total energy (hartree per atom): -0.3264
Energy of formation from the pure elements (kJ/mol of atoms): -18.0

***

Density functional theory data (PBE) for crystalline Fe2ReP8 at its relaxed geometry.

a b c (Å): 6.2143 6.2143 4.7106
angles (deg): 91.65 91.65 65.30
Fractional coordinates of all 11 atoms:
Fe (0.2503, 0.2503, 0.2120)
Fe (0.7497, 0.7497, 0.7880)
Re (0.5000, 0.5000, 0.0000)
P (0.0731, 0.6362, 0.0875)
P (0.1066, 0.1066, 0.5437)
P (0.3638, 0.9269, 0.9125)
P (0.3972, 0.3972, 0.5474)
P (0.6028, 0.6028, 0.4526)
P (0.6362, 0.0731, 0.0875)
P (0.8934, 0.8934, 0.4563)
P (0.9269, 0.3638, 0.9125)

Properties
Mass density (Mg/m³): 5.49
Calculated total energy (hartree per atom): -0.2466
Energy of formation from the pure elements (kJ/mol of atoms): -10.3

***

Density functional theory data (PBE) for crystalline Fe2ReP at its relaxed geometry.

a b c (Å): 4.4226 4.4226 4.4226
angles (deg): 132.09 132.09 70.09
Fractional coordinates of all 4 atoms:
Fe (0.2500, 0.7500, 0.5000)
Fe (0.7500, 0.2500, 0.5000)
Re (0.0000, 0.0000, 0.0000)
P (0.5000, 0.5000, 0.0000)

Properties
Mass density (Mg/m³): 11.69
Calculated total energy (hartree per atom): -0.3162
Energy of formation from the pure elements (kJ/mol of atoms): 8.7

***

Question: Among the records above, which one has the highest mass density?
Answer: number 9

***

Question: Which of these has the highest mass density?
Answer: number 9

***

Question: What is the calculated total energy in the third record?
Answer: -0.3166 hartree per atom